Here is a relaxed structure of ErSc2CdO from the Alexandria database. Energies are from PBE.

Output
Crystal system ... tetragonal
Energy relative to the elements, uncorrected ... -1364 meV/atom

```
data_ErSc2CdO
_cell_length_a 4.498
_cell_length_b 4.498
_cell_length_c 4.673
_cell_angle_alpha 90.00
_cell_angle_beta 90.00
_cell_angle_gamma 90.00
_space_group_name_H-M_alt 'P 4/m m m'
_space_group_IT_number 123
_space_group_name_Hall '-P 4 2'
loop_
_atom_site_label
_atom_site_fract_x
_atom_site_fract_y
_atom_site_fract_z
Er1 0.000 0.000 0.000
Sc1 0.000 0.500 0.500
Cd1 0.500 0.500 0.000
O1 0.000 0.000 0.500
```


Here is a relaxed structure of Er2ScCdO from the Alexandria database. Energies are from PBE.

Output
Crystal system ... tetragonal
Energy relative to the elements, uncorrected ... -1339 meV/atom

```
data_Er2ScCdO
_cell_length_a 4.719
_cell_length_b 4.719
_cell_length_c 4.510
_cell_angle_alpha 90.00
_cell_angle_beta 90.00
_cell_angle_gamma 90.00
_space_group_name_H-M_alt 'P 4/m m m'
_space_group_IT_number 123
_space_group_name_Hall '-P 4 2'
loop_
_atom_site_label
_atom_site_fract_x
_atom_site_fract_y
_atom_site_fract_z
Er1 0.000 0.500 0.000
Sc1 0.000 0.000 0.500
Cd1 0.500 0.500 0.500
O1 0.000 0.000 0.000
```


Here is a relaxed structure of ErCdSeO5 from the Alexandria database. Energies are from PBE.

Output
Crystal system ... monoclinic
Energy relative to the elements, uncorrected ... -1566 meV/atom

```
data_ErCdSeO5
_cell_length_a 8.151
_cell_length_b 8.790
_cell_length_c 8.295
_cell_angle_alpha 90.00
_cell_angle_beta 119.38
_cell_angle_gamma 90.00
_space_group_name_H-M_alt 'C 1 2/c 1'
_space_group_IT_number 15
loop_
_space_group_symop_operation_xyz
'x,y,z'
'-x,-y,-z'
'-x,y,-z+1/2'
'x,-y,z+1/2'
'x+1/2,y+1/2,z'
'-x+1/2,-y+1/2,-z'
'-x+1/2,y+1/2,-z+1/2'
'x+1/2,-y+1/2,z+1/2'
loop_
_atom_site_label
_atom_site_fract_x
_atom_site_fract_y
_atom_site_fract_z
Er1 0.000 0.000 0.000
Cd1 0.000 0.310 0.250
Se1 0.000 0.335 0.750
O1 0.000 0.070 0.250
O2 0.035 0.257 0.561
O3 0.177 0.470 0.858
```


Here is a relaxed structure of Sm2ErCdO from the Alexandria database. Energies are from PBE.

Output
Crystal system ... tetragonal
Energy relative to the elements, uncorrected ... -1303 meV/atom

```
data_Sm2ErCdO
_cell_length_a 4.929
_cell_length_b 4.929
_cell_length_c 4.717
_cell_angle_alpha 90.00
_cell_angle_beta 90.00
_cell_angle_gamma 90.00
_space_group_name_H-M_alt 'P 4/m m m'
_space_group_IT_number 123
_space_group_name_Hall '-P 4 2'
loop_
_atom_site_label
_atom_site_fract_x
_atom_site_fract_y
_atom_site_fract_z
Sm1 0.000 0.500 0.000
Er1 0.000 0.000 0.500
Cd1 0.500 0.500 0.500
O1 0.000 0.000 0.000
```


Here is a relaxed structure of Er2CdSnO6 from the Alexandria database. Energies are from PBE.

Output
Crystal system ... trigonal
Energy relative to the elements, uncorrected ... -2500 meV/atom

```
data_Er2CdSnO6
_cell_length_a 5.6739
_cell_length_b 5.6739
_cell_length_c 15.0745
_cell_angle_alpha 90.00
_cell_angle_beta 90.00
_cell_angle_gamma 120.00
_space_group_name_H-M_alt 'R 3'
_space_group_IT_number 146
_space_group_name_Hall 'R 3'
loop_
_atom_site_label
_atom_site_fract_x
_atom_site_fract_y
_atom_site_fract_z
Er1 0.0000 0.0000 0.0000
Er2 0.0000 0.0000 0.4939
Cd1 0.0000 0.0000 0.2204
Sn1 0.0000 0.0000 0.7033
O1 0.0115 0.7251 0.6063
O2 0.0294 0.3406 0.7658
```


Here is a relaxed structure of TbEr2CdO from the Alexandria database. Energies are from PBE.

Output
Crystal system ... tetragonal
Energy relative to the elements, uncorrected ... -1320 meV/atom

```
data_TbEr2CdO
_cell_length_a 4.742
_cell_length_b 4.742
_cell_length_c 4.806
_cell_angle_alpha 90.00
_cell_angle_beta 90.00
_cell_angle_gamma 90.00
_space_group_name_H-M_alt 'P 4/m m m'
_space_group_IT_number 123
_space_group_name_Hall '-P 4 2'
loop_
_atom_site_label
_atom_site_fract_x
_atom_site_fract_y
_atom_site_fract_z
Tb1 0.000 0.000 0.000
Er1 0.000 0.500 0.500
Cd1 0.500 0.500 0.000
O1 0.000 0.000 0.500
```